[1]
The following is a PBE calculation of crystalline CaBeFe2 at its relaxed geometry, from Alexandria.

Structure (POSCAR):
```
CaBeFe2
1.0
5.138 0.007 -0.001
-2.381 4.553 -0.001
0.528 0.873 2.435
Fe Be Ca
2 1 1
Direct
0.500 0.500 0.000
0.000 0.000 0.000
0.500 0.000 0.500
0.000 0.500 0.500
```

Output
SG = C2/m, No. 12
magnetization = 4.0 Bohr magnetons per cell
total DFT energy (no corrections) = -4.9744 eV per atom
N(E_F) = 3.54 states/eV/cell

---

[2]
The following is a PBE calculation of crystalline LiPtCl at its relaxed geometry, from Alexandria.

Structure (POSCAR):
```
LiPtCl
1.0
3.679 -2.124 0.000
0.000 4.248 0.000
0.000 0.000 3.246
Pt Li Cl
1 1 1
Direct
0.333 0.667 0.000
0.667 0.333 0.500
0.000 0.000 0.000
```

Output
SG = P-6m2, No. 187
magnetization = 0.0 Bohr magnetons per cell
uncorrected formation energy = -233 meV/atom
total DFT energy (no corrections) = -3.5003 eV per atom
N(E_F) = 1.14 states/eV/cell
distance to the lowest polymorph of the same formula = 593 meV/atom

---

[3]
The following is a PBE calculation of crystalline NdDyAsP at its relaxed geometry, from Alexandria.

Structure (POSCAR):
```
NdDyAsP
1.0
4.152 0.000 0.000
0.000 4.145 0.248
0.000 -0.350 5.841
Nd As Dy P
1 1 1 1
Direct
0.500 0.392 0.593
0.000 0.892 0.592
0.000 0.891 0.092
0.500 0.391 0.093
```

Output
SG = P4/mmm, No. 123
magnetization = 0.0 Bohr magnetons per cell
total DFT energy (no corrections) = -6.3752 eV per atom
N(E_F) = 0.44 states/eV/cell

---

[4]
The following is a PBE calculation of crystalline SrBeCo3 at its relaxed geometry, from Alexandria.

Structure (POSCAR):
```
SrBeCo3
1.0
-2.677 3.218 0.319
-1.661 -1.013 -3.721
-2.775 -2.499 1.919
Co Sr Be
3 1 1
Direct
0.500 0.000 0.000
0.000 0.500 0.000
0.000 0.000 0.500
0.500 0.500 0.500
0.000 0.000 0.000
```

Output
SG = Pm-3m, No. 221
magnetization = 2.9 Bohr magnetons per cell
total DFT energy (no corrections) = -4.8432 eV per atom
N(E_F) = 7.76 states/eV/cell
distance to the lowest polymorph of the same formula = 0 meV/atom

---

[5]
The following is a PBE calculation of crystalline ZrSnCl2 at its relaxed geometry, from Alexandria.

Structure (POSCAR):
```
ZrSnCl2
1.0
-5.988 -5.859 5.796
-5.069 -8.138 3.445
-3.055 -7.549 6.121
Zr Cl Sn
1 2 1
Direct
0.000 0.000 0.000
0.081 0.081 0.081
0.919 0.919 0.919
0.500 0.500 0.500
```

Output
SG = R-3m, No. 166
magnetization = 0.2 Bohr magnetons per cell
uncorrected formation energy = -592 meV/atom
total DFT energy (no corrections) = -4.6527 eV per atom
N(E_F) = 3.18 states/eV/cell
distance to the lowest polymorph of the same formula = 437 meV/atom

---

[6]
The following is a PBE calculation of crystalline PuHO4 at its relaxed geometry, from Alexandria.

Structure (POSCAR):
```
PuHO4
1.0
5.702 -1.003 -1.249
-2.766 4.649 -1.003
0.178 0.394 6.862
O Pu H
8 2 2
Direct
0.655 0.917 0.351
0.019 0.806 0.068
0.981 0.194 0.932
0.549 0.262 0.068
0.804 0.566 0.649
0.345 0.083 0.649
0.451 0.738 0.932
0.196 0.434 0.351
0.822 0.072 0.143
0.178 0.928 0.857
0.578 0.328 0.656
0.422 0.672 0.344
```

Output
SG = C2/c, No. 15
magnetization = 2.0 Bohr magnetons per cell
total DFT energy (no corrections) = -8.0153 eV per atom
N(E_F) = 0.07 states/eV/cell

---

[7]
The following is a PBE calculation of crystalline PrSmNi at its relaxed geometry, from Alexandria.

Structure (POSCAR):
```
PrSmNi
1.0
4.302 0.000 0.000
0.000 4.588 0.000
0.000 -2.294 3.973
Ni Pr Sm
1 1 1
Direct
0.362 0.333 0.667
0.057 0.000 0.000
0.581 0.667 0.333
```

Output
SG = P3m1, No. 156
magnetization = 0.0 Bohr magnetons per cell
total DFT energy (no corrections) = -5.1234 eV per atom
N(E_F) = 3.25 states/eV/cell
distance to the lowest polymorph of the same formula = 177 meV/atom

---

[8]
The following is a PBE calculation of crystalline Hf6BeBi2 at its relaxed geometry, from Alexandria.

Structure (POSCAR):
```
Hf6BeBi2
1.0
-3.664 -0.429 -0.915
1.897 -0.344 -7.433
-0.294 -6.429 4.189
Hf Bi Be
6 2 1
Direct
0.500 0.000 0.618
0.500 0.618 0.000
0.500 0.382 0.382
0.000 0.000 0.228
0.000 0.228 0.000
0.000 0.772 0.772
0.000 0.333 0.667
0.000 0.667 0.333
0.500 0.000 0.000
```

Output
SG = P-62m, No. 189
magnetization = 0.0 Bohr magnetons per cell
total DFT energy (no corrections) = -8.1157 eV per atom
N(E_F) = 3.93 states/eV/cell
distance to the lowest polymorph of the same formula = 0 meV/atom

---

[9]
The following is a PBE calculation of crystalline La2OsPd2 at its relaxed geometry, from Alexandria.

Structure (POSCAR):
```
La2OsPd2
1.0
7.391 0.000 0.000
0.000 7.391 0.000
0.000 0.000 4.114
Os La Pd
2 4 4
Direct
0.000 0.000 0.000
0.500 0.500 0.000
0.316 0.184 0.500
0.684 0.816 0.500
0.184 0.684 0.500
0.816 0.316 0.500
0.629 0.129 0.000
0.129 0.371 0.000
0.371 0.871 0.000
0.871 0.629 0.000
```

Output
SG = P4/mbm, No. 127
magnetization = 0.0 Bohr magnetons per cell
total DFT energy (no corrections) = -6.5721 eV per atom
N(E_F) = 4.48 states/eV/cell
distance to the lowest polymorph of the same formula = 0 meV/atom

---

[10]
The following is a PBE calculation of crystalline AcErMgAg at its relaxed geometry, from Alexandria.

Structure (POSCAR):
```
AcErMgAg
1.0
-1.491 4.334 -3.002
-5.213 0.573 -1.584
-3.121 3.922 2.213
Ac Mg Er Ag
1 1 1 1
Direct
0.500 0.500 0.500
0.250 0.250 0.250
0.000 0.000 0.000
0.750 0.750 0.750
```

Output
SG = F-43m, No. 216
magnetization = 0.0 Bohr magnetons per cell
total DFT energy (no corrections) = -3.3715 eV per atom
N(E_F) = 3.60 states/eV/cell

---

[11]
The following is a PBE calculation of crystalline BaMgI3 at its relaxed geometry, from Alexandria.

Structure (POSCAR):
```
BaMgI3
1.0
5.841 0.000 0.000
0.000 5.841 0.000
0.000 0.000 5.841
I Ba Mg
3 1 1
Direct
0.000 0.000 0.500
0.500 0.000 0.000
0.000 0.500 0.000
0.500 0.500 0.500
0.000 0.000 0.000
```

Output
SG = Pm-3m, No. 221
magnetization = 0.0 Bohr magnetons per cell
uncorrected formation energy = -1029 meV/atom
total DFT energy (no corrections) = -2.6627 eV per atom
N(E_F) = 2.75 states/eV/cell
distance to the lowest polymorph of the same formula = 0 meV/atom

---

[12]
The following is a PBE calculation of crystalline SbPtW2 at its relaxed geometry, from Alexandria.

Structure (POSCAR):
```
SbPtW2
1.0
5.064 0.006 -0.004
-2.891 5.442 0.003
0.003 1.610 2.490
Pt Sb W
1 1 2
Direct
0.500 0.500 0.000
0.500 0.000 0.500
0.000 0.000 0.000
0.000 0.500 0.500
```

Output
SG = Cmmm, No. 65
magnetization = 0.0 Bohr magnetons per cell
uncorrected formation energy = 423 meV/atom
total DFT energy (no corrections) = -8.5945 eV per atom
N(E_F) = 2.48 states/eV/cell